VASP calculation (PBE with a Hubbard U) on a relaxed structure of MnIO6.

The structure in extended XYZ format:
```
8
Lattice="-0.146 3.598 3.341 -3.103 3.763 -0.578 -4.114 0.291 3.117" Properties=species:S:1:pos:R:3 pbc="T T T"
I 0.000 0.000 0.000
O -3.047 5.584 3.410
O -3.835 4.325 1.085
O -3.528 3.327 4.795
Mn -3.681 3.826 2.940
O -4.316 2.068 2.471
O -1.880 3.197 2.671
O -5.483 4.455 3.209
```

Calculated values
Electronic total energy ... -5.17 eV per atom
Theoretical density ... 5.108 g/cm3